Entry 1:
A geometry-optimized ZrTaSnP2 structure, computed with PBE.

abc: 4.890 5.286 4.890
angles: 90.00 90.00 90.00
Atoms (fractional coordinates):
1 P 0.000 0.000 0.500
2 P 0.500 0.000 0.000
3 Sn 0.500 0.500 0.500
4 Zr 0.000 0.000 0.000
5 Ta 0.000 0.500 0.000

Properties
formation energy = 0.919 eV/atom
VASP energy = -6.13 eV/atom
calculated density = 5.949 g cm⁻³
density of states at the Fermi level = 4.8 states/eV/f.u.

Entry 2:
A geometry-optimized AcNp2UO8 structure, computed with PBE.

abc: 3.964 5.518 7.652
angles: 90.00 90.00 90.01
Each line ends with the local moment (μB).
Atoms (fractional coordinates):
1 Ac 0.000 0.000 0.500  0.00
2 Np 0.500 0.500 0.755  3.08
3 Np 0.500 0.500 0.245  3.08
4 U 0.000 0.000 0.000  1.24
5 O 0.000 0.744 0.224  -0.07
6 O 0.500 0.759 0.000  -0.08
7 O 0.000 0.256 0.224  -0.07
8 O 0.000 0.256 0.776  -0.07
9 O 0.500 0.241 0.000  -0.08
10 O 0.000 0.744 0.776  -0.07
11 O 0.500 0.724 0.500  -0.07
12 O 0.500 0.276 0.500  -0.07

Properties
VASP energy = -9.95 eV/atom
calculated density = 10.587 g cm⁻³
uncorrected formation energy = -38.4 eV/f.u.
density of states at the Fermi level = 20.4 states/eV/f.u.

Entry 3:
A geometry-optimized Ce6Ru2Pb structure, computed with PBE.

abc: 7.654 8.823 8.823
angles: 61.20 66.89 66.89
Atoms (fractional coordinates):
1 Ce 0.494 0.665 0.637
2 Ce 0.006 0.363 0.335
3 Ce 0.506 0.335 0.363
4 Ce 0.994 0.637 0.665
5 Ce 0.889 0.964 0.385
6 Ce 0.611 0.615 0.036
7 Ce 0.111 0.036 0.615
8 Ce 0.389 0.385 0.964
9 Ce 0.223 0.779 0.035
10 Ce 0.277 0.965 0.221
11 Ce 0.777 0.221 0.965
12 Ce 0.723 0.035 0.779
13 Ru 0.040 0.677 0.917
14 Ru 0.460 0.083 0.323
15 Ru 0.960 0.323 0.083
16 Ru 0.540 0.917 0.677
17 Pb 0.250 0.216 0.784
18 Pb 0.750 0.784 0.216

Properties
formation energy = -0.199 eV/atom
VASP energy = -6.63 eV/atom
offset from the most stable computed form = 1.19 eV per formula unit
calculated density = 8.934 g cm⁻³
density of states at the Fermi level = 18.2 states/eV/f.u.